First-principles (PBE-GGA) data for crystalline YMgSeN2 at its relaxed geometry, as listed in Alexandria via LeMat-Bulk.

a = 4.3730 Å, b = 4.3730 Å, c = 5.7984 Å
α = 90.00°, β = 90.00°, γ = 90.00°
Space group P4/mmm (No. 123)
Inequivalent atoms, fractional coordinates:
Y: 0.0000 0.0000 0.0000 x1
Mg: 0.5000 0.5000 0.5000 x1
Se: 0.0000 0.0000 0.5000 x1
N: 0.0000 0.5000 0.0000 x2

Output
The energy relative to the elements, uncorrected is 1.89 eV per formula unit. The calculation puts the relative energy among the computed polymorphs at 164.2 meV per atom.